Record 1
Below is an optimized crystal structure of CeY3Er2, with properties calculated at the PBE level.

POSCAR file:
```
CeY3Er2
1.0
-0.1620 5.4718 -1.9534
-5.7632 -3.5537 -9.4767
-1.9633 -0.1445 8.4052
Er Y Ce
4 6 2
Direct
0.6735 0.1703 0.3406
0.6671 0.6703 0.3406
0.3265 0.8297 0.6594
0.3329 0.3297 0.6594
0.8285 0.0785 0.6571
0.1715 0.9215 0.3429
0.5000 0.2500 0.0000
0.5000 0.7500 0.0000
0.8285 0.5785 0.6571
0.1715 0.4215 0.3429
0.0000 0.0000 0.0000
0.0000 0.5000 0.0000
```

Energy of formation ... 0.15 eV per atom
Electronic total energy ... -5.589 eV per atom


Record 2
Below is an optimized crystal structure of NbCdBi2, with properties calculated at the PBE level.

POSCAR file:
```
NbCdBi2
1.0
3.7659 0.0000 0.0000
0.0000 3.7659 0.0000
0.0000 0.0000 7.0098
Cd Bi Nb
1 2 1
Direct
0.5000 0.5000 0.5000
0.0000 0.0000 0.7750
0.0000 0.0000 0.2250
0.5000 0.5000 0.0000
```

Energy of formation ... 0.17 eV per atom
Electronic total energy ... -4.520 eV per atom


Record 3
Below is an optimized crystal structure of H3I2, with properties calculated at the PBE level.

POSCAR file:
```
H3I2
1.0
4.5226 -0.6903 0.1992
-2.2592 3.9781 0.1992
0.6559 0.9529 7.6475
I H
2 3
Direct
0.1207 0.1207 0.7449
0.8793 0.8793 0.2551
0.6067 0.6067 0.7735
0.3933 0.3933 0.2265
0.0000 0.0000 0.0000
```

Electronic total energy ... -2.284 eV per atom


Record 4
Below is an optimized crystal structure of Sm5Pd4Rh, with properties calculated at the PBE level.

POSCAR file:
```
Sm5Pd4Rh
1.0
3.5324 0.0000 0.0000
0.0000 3.5324 0.0000
0.0000 0.0000 18.1430
Sm Pd Rh
5 4 1
Direct
0.5000 0.5000 0.0943
0.5000 0.5000 0.7025
0.5000 0.5000 0.2975
0.5000 0.5000 0.9057
0.5000 0.5000 0.5000
0.0000 0.0000 0.3993
0.0000 0.0000 0.8012
0.0000 0.0000 0.1988
0.0000 0.0000 0.6007
0.0000 0.0000 0.0000
```

Energy of formation ... -0.78 eV per atom
Electronic total energy ... -5.951 eV per atom


Record 5
Below is an optimized crystal structure of AlSn3F, with properties calculated at the PBE level.

POSCAR file:
```
AlSn3F
1.0
5.2766 0.0000 0.0000
0.0000 5.2766 0.0000
0.0000 0.0000 5.2766
Sn Al F
3 1 1
Direct
0.5000 0.0000 0.0000
0.0000 0.0000 0.5000
0.0000 0.5000 0.0000
0.0000 0.0000 0.0000
0.5000 0.5000 0.5000
```

Electronic total energy ... -3.423 eV per atom
ΔE_f (raw) ... 102 meV/atom


Record 6
Below is an optimized crystal structure of SnTeSe2N, with properties calculated at the PBE level.

POSCAR file:
```
SnTeSe2N
1.0
5.4426 0.0000 0.0000
0.0000 5.4426 0.0000
0.0000 0.0000 3.9452
N Se Sn Te
1 2 1 1
Direct
0.0000 0.0000 0.5000
0.5000 0.0000 0.0000
0.0000 0.5000 0.0000
0.0000 0.0000 0.0000
0.5000 0.5000 0.5000
```

Electronic total energy ... -3.732 eV per atom
ΔE_f (raw) ... 756 meV/atom


Record 7
Below is an optimized crystal structure of Ca4Pt, with properties calculated at the PBE level.

POSCAR file:
```
Ca4Pt
1.0
-3.5026 3.5026 3.5026
3.5026 -3.5026 3.5026
3.5026 3.5026 -3.5026
Ca Pt
4 1
Direct
0.5000 0.5000 0.5000
0.5000 0.0000 0.0000
0.0000 0.0000 0.5000
0.0000 0.5000 0.0000
0.0000 0.0000 0.0000
```

Energy of formation ... -0.30 eV per atom
Electronic total energy ... -3.109 eV per atom